Record 1
Density functional theory data (GGA-PBE) for a relaxed structure of Ca3Si.

```
12
Lattice="4.7698 0.0000 0.0000 0.0000 7.8593 0.0000 0.0000 -3.9297 10.4811" Properties=species:S:1:pos:R:3 pbc="T T T"
Ca 0.0000 1.9850 2.8810
Ca 0.0000 -1.9447 7.6000
Ca 2.3849 5.5835 0.0000
Ca 2.3849 2.2758 0.0000
Ca 0.0000 5.8743 2.8810
Ca 0.0000 1.9447 7.6000
Ca 0.0000 0.0000 0.0000
Ca 2.3849 3.9297 5.3790
Ca 2.3849 0.0000 5.1021
Si 0.0000 3.9297 0.0000
Si 2.3849 0.0000 2.1093
Si 2.3849 3.9297 8.3717
```

Results
Symmetry: Cmmm (65)
ΔE_f (raw): -0.26 eV/atom
Total energy: -3.114 eV per atom
M_tot: 0.000 μB per atom
Excess energy over the best structure of this formula in the dataset: 31 meV/atom



Record 2
Density functional theory data (GGA-PBE) for a relaxed structure of ZnSnGe.

```
3
Lattice="4.2570 0.0000 0.0000 -2.1285 3.6867 0.0000 0.0000 0.0000 5.1621" Properties=species:S:1:pos:R:3 pbc="T T T"
Zn 0.0000 2.4578 2.5700
Ge 0.0000 2.4578 5.0306
Sn 0.0000 0.0000 1.0898
```

Results
Symmetry: P3m1 (156)
Total energy: -3.077 eV per atom
M_tot: 0.000 μB per atom
Formation energy from the elements: 0.221 eV/atom
Excess energy over the best structure of this formula in the dataset: 79 meV/atom



Record 3
Density functional theory data (GGA-PBE) for a relaxed structure of HfMgTi.

```
6
Lattice="3.9717 0.0000 0.0000 0.0000 3.9717 0.0000 0.0000 0.0000 7.9394" Properties=species:S:1:pos:R:3 pbc="T T T"
Mg 0.0000 0.0000 0.0000
Mg 1.9858 1.9858 0.0000
Hf 0.0000 1.9858 3.0470
Hf 1.9858 0.0000 4.8924
Ti 0.0000 1.9858 5.8023
Ti 1.9858 0.0000 2.1371
```

Results
Symmetry: P4/nmm (129)
Total energy: -6.056 eV per atom
M_tot: 0.270 μB per atom
Formation energy from the elements: 0.425 eV/atom
Excess energy over the best structure of this formula in the dataset: 391 meV/atom



Record 4
Density functional theory data (GGA-PBE) for a relaxed structure of Sc3HgO.

```
10
Lattice="-2.9439 -0.0130 5.4108 3.9475 -4.2179 2.1376 3.8116 1.8997 5.5846" Properties=species:S:1:pos:R:3 pbc="T T T"
Sc 3.9961 -3.2622 3.9337
Sc 5.9737 -2.2141 6.7511
Sc 4.0160 -0.1224 5.6910
Sc 2.5361 -3.2686 6.6171
Sc 1.3370 -1.1022 4.2311
Sc 3.4782 -1.2290 8.9019
Hg 1.5705 0.9601 7.8693
Hg -0.2010 -1.1889 6.9003
O 0.0000 0.0000 0.0000
O 4.1305 -2.2168 5.7482
```

Results
Symmetry: I-4m2 (119)
ΔE_f (raw): -1.06 eV/atom
Total energy: -5.911 eV per atom
M_tot: 0.000 μB per atom
Excess energy over the best structure of this formula in the dataset: 432 meV/atom



Calculated volume
In order: 393 81 125 209
Unit: Å³/cell
DOS at the Fermi energy
In order: 2.54 0.90 4.39 8.17
Unit: states/eV/f.u.